4
Lattice="-6.915 2.368 3.364 -7.022 -0.501 3.895 -5.544 1.263 5.693" Properties=species:S:1:pos:R:3 comment="GGA+U GaFeF2, relaxed" relative_energy_kcal_per_mol_atoms=5.07 spacegroup="R-3m, No. 166" rho_g_cm3=4.7 pbc="T T T"
Ga -9.741 1.565 6.476
F -1.524 0.245 1.013
F -17.957 2.885 11.938
Fe 0.000 0.000 0.000